The following is a GGA+U calculation of crystalline NpZnNi2O8 at its relaxed geometry, from the Alexandria database.

Unit cell a=4.818 b=4.802 c=5.992 alpha=90.00 beta=90.00 gamma=92.16
Atoms (fractional coordinates):
O 0.676 0.680 0.500
O 0.192 0.805 0.760
O 0.319 0.316 0.000
O 0.192 0.805 0.240
O 0.808 0.195 0.760
O 0.681 0.684 0.000
O 0.324 0.320 0.500
O 0.808 0.195 0.240
Np 0.000 0.000 0.000
Ni 0.500 0.500 0.746
Ni 0.500 0.500 0.254
Zn 0.000 0.000 0.500

Properties
Space group = P2/m (10)
Crystal system = monoclinic
Energy = -6.22 eV/atom
Spin magnetization = 2.454 μB/cell